Entry from the Alexandria database: SrRe2OsI at its PBEsol-relaxed geometry (meta-GGA SCAN).

Density in g cm⁻³: 10.426
Magnetization in μB per formula unit: 0.059
VASP energy in eV per atom: -50.49

a b c (Å): 4.7638 4.7638 5.4543
angles (deg): 90.00 90.00 90.00
Element x y z (fractional)
Sr (0.0000, 0.0000, 0.0000)
Re (0.0000, 0.5000, 0.0000)
Re (0.5000, 0.0000, 0.0000)
Os (0.5000, 0.5000, 0.5000)
I (0.0000, 0.0000, 0.5000)



Entry from the Alexandria database: NaY3Au at its PBEsol-relaxed geometry (meta-GGA SCAN).

Density in g cm⁻³: 4.721
ΔE_f in kJ per mole of atoms: -18
Magnetization in μB per formula unit: 0.007

a b c (Å): 5.5526 5.5526 5.5526
angles (deg): 90.00 90.00 90.00
Element x y z (fractional)
Na (0.0000, 0.0000, 0.0000)
Y (0.0000, 0.5000, 0.5000)
Y (0.5000, 0.0000, 0.5000)
Y (0.5000, 0.5000, 0.0000)
Au (0.5000, 0.5000, 0.5000)



Entry from the Alexandria database: LiVF4 at its PBEsol-relaxed geometry (meta-GGA SCAN).

Density in g cm⁻³: 3.452
Magnetization in μB per formula unit: 2.000
VASP energy in eV per atom: -8.89

a b c (Å): 4.5884 4.5884 3.0607
angles (deg): 90.00 90.00 91.97
Element x y z (fractional)
Li (0.0000, 0.0000, 0.0000)
V (0.5000, 0.5000, 0.5000)
F (0.2052, 0.2052, 0.5000)
F (0.3115, 0.6885, 0.0000)
F (0.6885, 0.3115, 0.0000)
F (0.7948, 0.7948, 0.5000)



Entry from the Alexandria database: Na2TlCd2 at its PBEsol-relaxed geometry (meta-GGA SCAN).

Density in g cm⁻³: 6.010
ΔE_f in kJ per mole of atoms: -8
Magnetization in μB per formula unit: 0.000

a b c (Å): 7.6919 7.6919 4.4379
angles (deg): 90.00 90.00 90.00
Element x y z (fractional)
Na (0.1716, 0.3284, 0.0000)
Na (0.3284, 0.8284, 0.0000)
Na (0.6716, 0.1716, 0.0000)
Na (0.8284, 0.6716, 0.0000)
Tl (0.0000, 0.0000, 0.5000)
Tl (0.5000, 0.5000, 0.5000)
Cd (0.1299, 0.6299, 0.5000)
Cd (0.3701, 0.1299, 0.5000)
Cd (0.6299, 0.8701, 0.5000)
Cd (0.8701, 0.3701, 0.5000)